Density functional theory data (PBE) for an optimized crystal structure of CsAl3Te.

Summary:
Calculated total energy in eV per cell: -7.54
Formation energy without anion corrections in eV per formula unit: 7.685
DOS(E_F) in states/eV/atom: 0.706

Cell: 6.1131 6.1131 6.1131 Å, 90.00 90.00 90.00°
With the nearest neighbours (Å) after each atom.
Space group Pm-3m (No. 221)
Symmetry-distinct sites (fractional):
Cs 0.0000 0.0000 0.0000 [1 per cell]  6 Al 3.06
Al 0.0000 0.0000 0.5000 [3 per cell]  2 Cs 3.06
Te 0.5000 0.5000 0.5000 [1 per cell]  12 Al 4.32